A relaxed structure of SrCa2Au, computed with PBE.

Geometry as POSCAR:
```
SrCa2Au
1.0
5.655 0.000 0.000
2.828 4.898 0.000
2.828 1.633 4.618
Sr Ca Au
1 2 1
Direct
0.750 0.750 0.750
0.000 0.000 0.000
0.250 0.250 0.250
0.500 0.500 0.500
```

**Formation enthalpy at 0 K**: -0.149 eV/atom
**Energy above the lowest structure with this stoichiometry**: 0.314 eV/atom
**Space group**: No. 216